Entry 1:
The following is a DFT calculation (PBE) of KNa6Pb6 after structural relaxation.

Summary:
- formation energy (eV per atom) = -0.122
- density of states at the Fermi level (states/eV/atom) = 0.656
- electronic total energy (eV for the cell shown) = -32.84

The structure in POSCAR format:
```
KNa6Pb6
1.0
6.398 0.000 2.557
3.101 7.865 1.523
0.278 0.074 8.585
K Na Pb
1 6 6
Cartesian
0.000 0.000 0.000
4.421 5.199 7.502
5.356 2.740 5.163
1.215 2.659 6.242
2.165 5.280 3.866
2.592 1.596 2.797
7.185 6.343 9.868
1.551 3.932 0.761
4.749 3.932 2.040
0.139 0.037 4.293
3.338 0.037 5.571
5.679 6.150 4.356
4.099 1.789 8.309
```

---

Entry 2:
The following is a DFT calculation (PBE) of TaPSe2 after structural relaxation.

Summary:
- ΔE_f (raw) (eV per atom) = -0.08
- density of states at the Fermi level (states/eV/atom) = 0.584
- electronic total energy (eV for the cell shown) = -24.54

The structure in POSCAR format:
```
TaPSe2
1.0
-2.100 -1.566 3.771
-1.880 -3.250 -2.397
2.476 -3.764 -0.185
Ta P Se
1 1 2
Cartesian
0.204 -3.097 -1.173
-0.567 -3.102 1.191
-0.038 -0.470 -0.216
-0.806 -5.419 0.096
```

---

Entry 3:
The following is a DFT calculation (PBE) of GdGaAgGe after structural relaxation.

Summary:
- formation energy (eV per atom) = -0.303
- density of states at the Fermi level (states/eV/atom) = 0.619
- electronic total energy (eV for the cell shown) = -25.79

The structure in POSCAR format:
```
GdGaAgGe
1.0
-1.694 0.128 4.569
-4.786 -0.401 0.837
-1.785 -4.046 2.052
Ge Gd Ga Ag
1 1 1 1
Cartesian
-4.132 -2.159 3.730
-6.198 -3.239 5.594
0.000 0.000 0.000
-2.066 -1.080 1.865
```

---

Entry 4:
The following is a DFT calculation (PBE) of CoTe2AuN after structural relaxation.

Summary:
- ΔE_f (raw) (eV per atom) = 1.44
- density of states at the Fermi level (states/eV/atom) = 1.616
- electronic total energy (eV for the cell shown) = -17.78

The structure in POSCAR format:
```
CoTe2AuN
1.0
5.599 0.000 0.000
0.000 5.599 0.000
0.000 0.000 3.709
Co Te Au N
1 2 1 1
Cartesian
2.799 2.799 1.855
0.000 2.799 0.000
2.799 0.000 0.000
0.000 0.000 0.000
0.000 0.000 1.855
```

---

Entry 5:
The following is a DFT calculation (PBE) of NaCuI2N after structural relaxation.

Summary:
- ΔE_f (raw) (eV per atom) = 0.21
- density of states at the Fermi level (states/eV/atom) = 0.466
- electronic total energy (eV for the cell shown) = -15.80

The structure in POSCAR format:
```
NaCuI2N
1.0
-2.465 5.130 1.101
-0.852 -1.592 5.509
3.355 1.413 0.927
I Na Cu N
2 1 1 1
Cartesian
-0.426 -0.796 2.754
-1.233 2.565 0.551
0.019 2.476 3.769
0.000 0.000 0.000
1.677 0.707 0.464
```

---

Entry 6:
The following is a DFT calculation (PBE) of NpCoGe3 after structural relaxation.

Summary:
- formation energy (eV per atom) = -0.254
- density of states at the Fermi level (states/eV/atom) = 2.174
- electronic total energy (eV for the cell shown) = -35.17

The structure in POSCAR format:
```
NpCoGe3
1.0
-2.505 -2.600 2.214
-0.120 -2.677 -3.280
5.291 0.304 2.292
Np Co Ge
1 1 3
Cartesian
2.598 -4.934 1.196
-0.034 -3.389 0.032
1.951 -2.519 -0.751
0.758 -2.480 1.996
3.441 -2.020 1.522
```

---

Entry 7:
The following is a DFT calculation (PBE) of La3SmEr2S6 after structural relaxation.

Summary:
- ΔE_f (raw) (eV per atom) = -2.08
- density of states at the Fermi level (states/eV/atom) = 0.485
- electronic total energy (eV for the cell shown) = -78.36

The structure in POSCAR format:
```
La3SmEr2S6
1.0
6.947 -0.008 -0.003
-3.479 6.013 -0.003
-1.159 -2.008 6.669
La Sm Er S
3 1 2 6
Cartesian
-2.352 4.024 3.332
4.660 -0.026 3.332
1.154 1.999 3.332
0.000 0.000 0.000
-0.003 4.006 -0.003
3.471 1.999 -0.003
3.498 1.946 5.125
2.283 3.952 1.518
-1.189 2.051 1.538
-0.062 4.002 5.125
0.026 0.045 5.146
2.371 -0.005 1.538
```

---

Entry 8:
The following is a DFT calculation (PBE) of Y2TlBi after structural relaxation.

Summary:
- formation energy (eV per atom) = -0.523
- density of states at the Fermi level (states/eV/atom) = 0.451
- electronic total energy (eV for the cell shown) = -21.27

The structure in POSCAR format:
```
Y2TlBi
1.0
-3.193 -2.311 -1.541
-0.595 -3.962 1.363
-6.085 0.654 5.816
Y Tl Bi
2 1 1
Cartesian
-2.530 -1.369 1.485
-7.343 -4.249 4.153
0.000 0.000 0.000
-4.936 -2.809 2.819
```

---

Entry 9:
The following is a DFT calculation (PBE) of BiAsWBr2 after structural relaxation.

Summary:
- ΔE_f (raw) (eV per atom) = 0.58
- density of states at the Fermi level (states/eV/atom) = 0.815
- electronic total energy (eV for the cell shown) = -21.91

The structure in POSCAR format:
```
BiAsWBr2
1.0
-0.865 1.525 -4.841
-2.064 -4.593 -1.078
-4.537 1.721 1.353
As Br Bi W
1 2 1 1
Cartesian
-2.269 0.861 0.677
-1.032 -2.296 -0.539
-0.433 0.762 -2.421
-3.733 -0.673 -2.283
0.000 0.000 0.000
```

---

Entry 10:
The following is a DFT calculation (PBE) of SrTcNi2 after structural relaxation.

Summary:
- formation energy (eV per atom) = 0.846
- density of states at the Fermi level (states/eV/atom) = 1.571
- electronic total energy (eV for the cell shown) = -20.23

The structure in POSCAR format:
```
SrTcNi2
1.0
-4.291 5.840 5.681
-4.034 3.589 7.460
-1.860 5.459 7.179
Ni Sr Tc
2 1 1
Cartesian
-10.166 14.860 20.282
-2.680 3.917 5.346
-5.136 7.507 10.246
-7.481 10.935 14.925
```

---

Entry 11:
The following is a DFT calculation (PBE) of Ho4ErTm5 after structural relaxation.

Summary:
- formation energy (eV per atom) = 0.071
- density of states at the Fermi level (states/eV/atom) = 1.507
- electronic total energy (eV for the cell shown) = -44.52

The structure in POSCAR format:
```
Ho4ErTm5
1.0
-1.231 -1.966 -2.752
-2.878 -5.358 5.116
-6.934 9.210 3.582
Ho Er Tm
4 1 5
Cartesian
-4.351 -3.025 4.109
-8.583 2.044 4.732
-6.692 4.911 1.837
-2.460 -0.159 1.214
-0.615 -0.983 -1.376
-4.268 0.372 3.998
-3.616 2.954 1.860
-7.427 -1.068 4.085
-2.055 -3.662 1.182
-6.775 1.514 1.948
```

---

Entry 12:
The following is a DFT calculation (PBE) of Pu2Ge2H after structural relaxation.

Summary:
- density of states at the Fermi level (states/eV/atom) = 1.938
- electronic total energy (eV for the cell shown) = -42.66

The structure in POSCAR format:
```
Pu2Ge2H
1.0
3.203 0.000 0.000
0.000 2.996 -0.972
0.000 1.291 9.079
Pu Ge H
2 2 1
Cartesian
0.000 2.441 2.420
0.000 3.787 6.568
1.601 1.636 5.041
1.601 1.636 -0.061
1.601 0.806 2.483
```